Entry 1:
Material: KPb3O
Method: DFT, PBE
State: optimized geometry

## Properties
crystal system = cubic
ΔE_f (raw) = -0.262 eV per atom
total magnetic moment = 0.00 μB per formula unit

Unit cell a=5.2196 b=5.2196 c=5.2196 alpha=90.00 beta=90.00 gamma=90.00
With the nearest neighbours (Å) after each atom.
Element x y z (fractional)
Pb 0.5000 0.0000 0.0000  2 O 2.61
Pb 0.0000 0.0000 0.5000  2 O 2.61
Pb 0.0000 0.5000 0.0000  2 O 2.61
O 0.0000 0.0000 0.0000  6 Pb 2.61
K 0.5000 0.5000 0.5000  12 Pb 3.69

***

Entry 2:
Material: K2SrLaAg
Method: DFT, PBE
State: optimized geometry

## Properties
crystal system = tetragonal
total DFT energy (no corrections) = -1.329 eV/atom
total magnetic moment = 4.08 μB per formula unit

Unit cell a=6.8859 b=6.8066 c=6.8859 alpha=90.00 beta=90.00 gamma=90.00
With the nearest neighbours (Å) after each atom.
Element x y z (fractional)
Sr 0.0000 0.5000 0.0000  2 La 3.40
La 0.0000 0.0000 0.0000  2 Sr 3.40, 4 K 3.44
K 0.0000 0.0000 0.5000  2 La 3.44
K 0.5000 0.0000 0.0000  2 La 3.44
Ag 0.5000 0.5000 0.5000  8 K 4.84, 4 Sr 4.87

***

Entry 3:
Material: CuSn2BiH
Method: DFT, PBE
State: optimized geometry

## Properties
crystal system = tetragonal
total DFT energy (no corrections) = -3.128 eV/atom
total magnetic moment = 0.00 μB per formula unit

Unit cell a=5.0490 b=5.3092 c=5.0490 alpha=90.00 beta=90.00 gamma=90.00
With the nearest neighbours (Å) after each atom.
Element x y z (fractional)
Bi 0.0000 0.5000 0.0000  2 Cu 2.65
Sn 0.0000 0.0000 0.5000  2 Cu 2.52
Sn 0.5000 0.0000 0.0000  2 Cu 2.52
Cu 0.0000 0.0000 0.0000  4 Sn 2.52, 2 Bi 2.65
H 0.5000 0.5000 0.5000  4 Bi 3.57, 8 Sn 3.66

***

Entry 4:
Material: Rb3RuPb
Method: DFT, PBE
State: optimized geometry

## Properties
crystal system = cubic
total DFT energy (no corrections) = -1.935 eV/atom
total magnetic moment = 5.00 μB per formula unit

Unit cell a=7.0701 b=7.0701 c=7.0701 alpha=90.00 beta=90.00 gamma=90.00
With the nearest neighbours (Å) after each atom.
Element x y z (fractional)
Ru 0.5000 0.5000 0.5000  12 Rb 5.00
Rb 0.5000 0.0000 0.0000  2 Pb 3.54
Rb 0.0000 0.5000 0.0000  2 Pb 3.54
Rb 0.0000 0.0000 0.5000  2 Pb 3.54
Pb 0.0000 0.0000 0.0000  6 Rb 3.54

***

Entry 5:
Material: La3Tb7Nd
Method: DFT, PBE
State: optimized geometry

## Properties
crystal system = trigonal
total DFT energy (no corrections) = -4.552 eV/atom
total magnetic moment = 0.00 μB per formula unit

Unit cell a=8.8437 b=7.1475 c=7.1474 alpha=120.00 beta=90.00 gamma=90.00
With the nearest neighbours (Å) after each atom.
Element x y z (fractional)
Tb 0.1217 0.1670 0.8330  1 Nd 3.51, 8 Tb 3.52-3.58, 2 La 3.63
Tb 0.4435 0.8326 0.1674  7 Tb 3.49-3.59, 2 Nd 3.57, 2 La 3.65
Tb 0.4435 0.3348 0.1674  7 Tb 3.49-3.59, 2 Nd 3.57, 2 La 3.65
Tb 0.1217 0.6659 0.8330  1 Nd 3.51, 8 Tb 3.52-3.58, 2 La 3.63
Tb 0.1218 0.1671 0.3341  1 Nd 3.51, 8 Tb 3.52-3.58, 2 La 3.63
Tb 0.1244 0.6667 0.3333  9 Tb 3.49-3.57, 3 La 3.65
Tb 0.4435 0.8326 0.6651  7 Tb 3.49-3.59, 2 Nd 3.57, 2 La 3.65
Nd 0.4430 0.3333 0.6667  9 Tb 3.51-3.57, 3 La 3.66
La 0.7840 0.5004 0.0008  4 La 3.57-3.58, 5 Tb 3.63-3.65, 1 Nd 3.66
La 0.7840 0.5004 0.4996  4 La 3.57-3.58, 5 Tb 3.63-3.65, 1 Nd 3.66
La 0.7840 0.9992 0.4996  4 La 3.57-3.58, 5 Tb 3.63-3.65, 1 Nd 3.66

***

Entry 6:
Material: ZrTaBi2
Method: DFT, PBE
State: optimized geometry

## Properties
crystal system = cubic
total DFT energy (no corrections) = -6.874 eV/atom
total magnetic moment = 0.00 μB per formula unit

Unit cell a=5.0642 b=5.0642 c=5.0642 alpha=60.00 beta=60.00 gamma=60.00
With the nearest neighbours (Å) after each atom.
Element x y z (fractional)
Bi 0.7500 0.7500 0.7500  4 Zr 3.10, 4 Ta 3.10
Bi 0.2500 0.2500 0.2500  4 Zr 3.10, 4 Ta 3.10
Zr 0.0000 0.0000 0.0000  8 Bi 3.10
Ta 0.5000 0.5000 0.5000  8 Bi 3.10

***

Entry 7:
Material: Tb4CdGa3
Method: DFT, PBE
State: optimized geometry

## Properties
crystal system = orthorhombic
total DFT energy (no corrections) = -4.082 eV/atom
total magnetic moment = 0.00 μB per formula unit

Unit cell a=5.1346 b=7.2673 c=10.2722 alpha=90.00 beta=90.00 gamma=90.00
With the nearest neighbours (Å) after each atom.
Element x y z (fractional)
Ga 0.0000 0.0000 0.5000  8 Tb 3.12
Ga 0.4986 0.0000 0.7500  8 Tb 3.12
Ga 0.5013 0.5000 0.2500  8 Tb 3.17
Ga 0.5014 0.0000 0.2500  8 Tb 3.12
Ga 0.4987 0.5000 0.7500  8 Tb 3.17
Ga 0.0000 0.0000 0.0000  8 Tb 3.12
Tb 0.0009 0.7566 0.2500  6 Ga 3.12-3.17, 2 Cd 3.17
Tb 0.5000 0.2433 0.0000  6 Ga 3.12-3.17, 2 Cd 3.17
Tb 0.9991 0.7566 0.7500  6 Ga 3.12-3.17, 2 Cd 3.17
Tb 0.5000 0.7567 0.0000  6 Ga 3.12-3.17, 2 Cd 3.17
Tb 0.5000 0.2433 0.5000  6 Ga 3.12-3.17, 2 Cd 3.17
Tb 0.9991 0.2434 0.7500  6 Ga 3.12-3.17, 2 Cd 3.17
Tb 0.0009 0.2434 0.2500  6 Ga 3.12-3.17, 2 Cd 3.17
Tb 0.5000 0.7567 0.5000  6 Ga 3.12-3.17, 2 Cd 3.17
Cd 0.0000 0.5000 0.0000  8 Tb 3.17
Cd 0.0000 0.5000 0.5000  8 Tb 3.17

***

Entry 8:
Material: NbIn2HgTe
Method: DFT, PBE
State: optimized geometry

## Properties
crystal system = tetragonal
ΔE_f (raw) = 0.226 eV per atom
total magnetic moment = 0.05 μB per formula unit

Unit cell a=5.7856 b=5.3328 c=5.7856 alpha=90.00 beta=90.00 gamma=90.00
With the nearest neighbours (Å) after each atom.
Element x y z (fractional)
Nb 0.0000 0.0000 0.0000  2 Te 2.67, 4 In 2.89
Te 0.0000 0.5000 0.0000  2 Nb 2.67
In 0.0000 0.0000 0.5000  2 Nb 2.89
In 0.5000 0.0000 0.0000  2 Nb 2.89
Hg 0.5000 0.5000 0.5000  8 In 3.93, 4 Te 4.09